(1)
VASP calculation (PBE) on a geometry-optimized Li4Zn2Ga structure.

Results
Polymorph energy (0 for the lowest one), eV per formula unit: 0.00
Size of the total moment, μB per cell: 0.00

a b c (Å): 13.677 2.708 6.940
angles (deg): 90.00 117.93 90.00
Space group C2/m (No. 12)
Symmetry-distinct sites (fractional):
Li1 0.083 0.000 0.217
Li2 0.140 0.500 0.892
Zn1 0.225 0.000 0.653
Ga1 0.000 0.000 0.500

---

(2)
VASP calculation (PBE) on a geometry-optimized Li12Zn3Ga structure.

Results
DFT total energy, eV/atom: -1.972
Size of the total moment, μB per cell: 0.00

a b c (Å): 4.041 4.041 16.263
angles (deg): 90.00 90.00 90.00
Space group P4/mmm (No. 123)
Symmetry-distinct sites (fractional):
Li1 0.000 0.000 0.000
Li2 0.000 0.000 0.250
Li3 0.000 0.000 0.500
Li4 0.000 0.500 0.124
Li5 0.000 0.500 0.375
Zn1 0.500 0.500 0.249
Zn2 0.500 0.500 0.500
Ga1 0.500 0.500 0.000

---

(3)
VASP calculation (PBE) on a geometry-optimized LiZn4Ga2 structure.

Results
Polymorph energy (0 for the lowest one), eV per formula unit: 0.00
Size of the total moment, μB per cell: 0.00

a b c (Å): 4.154 15.954 3.570
angles (deg): 90.00 90.00 90.00
Space group Cmmm (No. 65)
Symmetry-distinct sites (fractional):
Li1 0.000 0.000 0.000
Zn1 0.000 0.172 0.500
Zn2 0.000 0.303 0.000
Ga1 0.000 0.423 0.500

---

(4)
VASP calculation (PBE) on a geometry-optimized Li4Zn4Ga3 structure.

Results
Polymorph energy (0 for the lowest one), eV per formula unit: 0.00
Size of the total moment, μB per cell: 0.00

a b c (Å): 2.862 4.363 14.182
angles (deg): 98.74 90.12 90.03
Space group P-1 (No. 2)
Symmetry-distinct sites (fractional):
Li1 0.002 0.316 0.134
Li2 0.005 0.948 0.399
Zn1 0.492 0.592 0.683
Zn2 0.494 0.772 0.043
Ga1 0.495 0.139 0.776
Ga2 0.500 0.500 0.500

---

(5)
VASP calculation (PBE) on a geometry-optimized Li2Zn4Ga5 structure.

Results
Polymorph energy (0 for the lowest one), eV per formula unit: 0.62
Size of the total moment, μB per cell: 0.00

a b c (Å): 18.866 4.135 5.200
angles (deg): 90.00 101.22 90.00
Space group C2/m (No. 12)
Symmetry-distinct sites (fractional):
Li1 0.073 0.000 0.018
Zn1 0.021 0.500 0.242
Zn2 0.204 0.000 0.933
Ga1 0.000 0.000 0.500
Ga2 0.126 0.500 0.688
Ga3 0.177 0.500 0.253

---

(6)
VASP calculation (PBE) on a geometry-optimized Li8Zn3Ga2 structure.

Results
Polymorph energy (0 for the lowest one), eV per formula unit: 0.00
Size of the total moment, μB per cell: 0.00

a b c (Å): 6.156 4.350 8.237
angles (deg): 90.00 103.84 90.00
Space group P2/m (No. 10)
Symmetry-distinct sites (fractional):
Li1 0.058 0.000 0.357
Li2 0.122 0.500 0.879
Li3 0.358 0.500 0.263
Li4 0.377 0.000 0.807
Zn1 0.221 0.500 0.560
Zn2 0.500 0.000 0.500
Ga1 0.193 0.000 0.083

---

(7)
VASP calculation (PBE) on a geometry-optimized LiZn6Ga5 structure.

Results
DFT total energy, eV/atom: -2.044
Size of the total moment, μB per cell: 0.00

a b c (Å): 5.428 11.887 7.070
angles (deg): 90.00 110.60 90.00
Space group C2/m (No. 12)
Symmetry-distinct sites (fractional):
Li1 0.000 0.000 0.000
Zn1 0.033 0.188 0.698
Zn2 0.077 0.500 0.189
Ga1 0.000 0.000 0.500
Ga2 0.000 0.298 0.000
Ga3 0.000 0.386 0.500

---

(8)
VASP calculation (PBE) on a geometry-optimized LiZnGa2 structure.

Results
DFT total energy, eV/atom: -2.432
Size of the total moment, μB per cell: 0.00

a b c (Å): 3.223 3.223 6.430
angles (deg): 90.00 90.00 90.00
Space group P4/mmm (No. 123)
Symmetry-distinct sites (fractional):
Li1 0.000 0.000 0.000
Zn1 0.000 0.000 0.500
Ga1 0.500 0.500 0.256